# Tb3AgPd2 PBE optimized geometry
# calculated total energy	-5.200	eV per atom
# N(E_F)	4.6	states/eV per cell
# energy above the lowest structure with this stoichiometry	0.00	eV per formula unit
# formation energy from the elements	-0.6782	eV/atom
data_Tb3AgPd2
_symmetry_space_group_name_H-M 'P 4/m m m'
_symmetry_Int_Tables_number 123
_symmetry_space_group_name_Hall '-P 4 2'
_cell_length_a 3.577
_cell_length_b 3.577
_cell_length_c 10.656
_cell_angle_alpha 90.00
_cell_angle_beta 90.00
_cell_angle_gamma 90.00
loop_
_atom_site_label
_atom_site_type_symbol
_atom_site_fract_x
_atom_site_fract_y
_atom_site_fract_z
_atom_site_occupancy
Tb1 Tb 0.000 0.000 0.000 1
Tb2 Tb 0.000 0.000 0.323 1
Ag1 Ag 0.500 0.500 0.500 1
Pd1 Pd 0.500 0.500 0.164 1